Entry 1:
Below is a relaxed structure of Zr2ReBr, with properties calculated at the PBE level.

Cell lengths 7.7489, 3.3029, 8.4790 Å; angles 90.00, 115.79, 90.00 degrees
Space group C2/m (No. 12)
Inequivalent atoms, fractional coordinates:
Zr (0.1867, 0.0000, 0.3157) x4
Re (0.0000, 0.0000, 0.5000) x2
Br (0.0000, 0.5000, 0.0000) x2

Raw formation energy in eV/atom: -0.2369
Volume in Å³/atom: 24.42
E above lowest polymorph in eV per formula unit: 0.90



Entry 2:
Below is a relaxed structure of ZrRe2Br, with properties calculated at the PBE level.

Cell lengths 4.6045, 4.6045, 3.2742 Å; angles 90.00, 90.00, 90.00 degrees
Space group P4/mmm (No. 123)
Inequivalent atoms, fractional coordinates:
Zr (0.0000, 0.0000, 0.0000) x1
Re (0.0000, 0.5000, 0.5000) x2
Br (0.5000, 0.5000, 0.0000) x1

Raw formation energy in eV/atom: 0.8989
Volume in Å³/atom: 17.35
E above lowest polymorph in eV per formula unit: 1.90



Entry 3:
Below is a relaxed structure of ZrReBr4, with properties calculated at the PBE level.

Cell lengths 8.5358, 8.5358, 8.5358 Å; angles 90.00, 90.00, 90.00 degrees
Space group F-43m (No. 216)
Inequivalent atoms, fractional coordinates:
Zr (0.0000, 0.0000, 0.0000) x4
Re (0.2500, 0.2500, 0.2500) x4
Br (0.1254, 0.1254, 0.6254) x16

Raw formation energy in eV/atom: 1.4104
Volume in Å³/atom: 25.91



Entry 4:
Below is a relaxed structure of Zr2ReBr, with properties calculated at the PBE level.

Cell lengths 4.1873, 5.1658, 7.3913 Å; angles 90.00, 90.00, 90.00 degrees
Space group Immm (No. 71)
Inequivalent atoms, fractional coordinates:
Zr (0.0000, 0.0000, 0.2399) x4
Re (0.0000, 0.5000, 0.5000) x2
Br (0.0000, 0.5000, 0.0000) x2

Raw formation energy in eV/atom: 0.2172
Volume in Å³/atom: 19.99
E above lowest polymorph in eV per formula unit: 2.72



The records above yield D(E_F) values of 0.6285, 0.9151, 1.5596, 0.8612 states/eV per atom, respectively.